Zn2ReI8 | PBE-GGA | optimized geometry

Cell: 8.7598 8.7598 6.8852 Å, 90.92 90.92 64.06°
Closest atoms and distances in Å follow each position.
Element x y z (fractional)
Zn 0.1701 0.1701 0.4164  4 I 2.52-2.71
Zn 0.8299 0.8299 0.5836  4 I 2.52-2.71
Re 0.0000 0.0000 0.0000  6 I 2.74-2.77
I 0.1387 0.7217 0.7588  1 Zn 2.71, 1 Re 2.74
I 0.1613 0.1613 0.8046  1 Zn 2.68, 1 Re 2.77
I 0.2783 0.8613 0.2412  1 Zn 2.71, 1 Re 2.74
I 0.3361 0.3361 0.3450  1 Zn 2.52
I 0.6639 0.6639 0.6550  1 Zn 2.52
I 0.7217 0.1387 0.7588  1 Zn 2.71, 1 Re 2.74
I 0.8387 0.8387 0.1954  1 Zn 2.68, 1 Re 2.77
I 0.8613 0.2783 0.2412  1 Zn 2.71, 1 Re 2.74

Properties
Energy = -30.0 eV/cell
Volume = 43.18 A^3/atom